(1)
Entry from Alexandria via LeMat-Bulk: crystalline MgAlOs at its relaxed geometry (GGA-PBE).

a b c (Å): 4.2118 2.8276 4.7508
angles (deg): 90.00 90.00 90.00
Closest atoms and distances in Å follow each position.
Fractional positions:
Os (0.5000, 0.5000, 0.5000)  4 Al 2.54, 4 Mg 2.76, 2 Os 2.83
Mg (0.5000, 0.0000, 0.0000)  4 Os 2.76, 2 Mg 2.83
Al (0.0000, 0.0000, 0.5000)  4 Os 2.54, 2 Al 2.83

Results
**Spin magnetization**: 0.00 μB per cell
**Energy of formation**: -122.9 meV/atom
**SG**: No. 47

---

(2)
Entry from Alexandria via LeMat-Bulk: crystalline MgAlOs at its relaxed geometry (GGA-PBE).

a b c (Å): 4.1289 9.8543 5.2085
angles (deg): 90.00 90.00 90.00
Closest atoms and distances in Å follow each position.
Fractional positions:
Mg (0.0000, 0.7268, 0.2500)  3 Os 2.75-3.00, 2 Al 2.99
Mg (0.5000, 0.2268, 0.2500)  3 Os 2.75-3.00, 2 Al 2.99
Mg (0.0000, 0.2732, 0.7500)  3 Os 2.75-3.00, 2 Al 2.99
Mg (0.5000, 0.7732, 0.7500)  3 Os 2.75-3.00, 2 Al 2.99
Os (0.0000, 0.4482, 0.2500)  4 Al 2.49, 1 Mg 2.75
Os (0.5000, 0.9482, 0.2500)  4 Al 2.49, 1 Mg 2.75
Os (0.0000, 0.5518, 0.7500)  4 Al 2.49, 1 Mg 2.75
Os (0.5000, 0.0518, 0.7500)  4 Al 2.49, 1 Mg 2.75
Al (0.5000, 0.5000, 0.0000)  4 Os 2.49, 2 Al 2.60
Al (0.5000, 0.5000, 0.5000)  4 Os 2.49, 2 Al 2.60
Al (0.0000, 0.0000, 0.0000)  4 Os 2.49, 2 Al 2.60
Al (0.0000, 0.0000, 0.5000)  4 Os 2.49, 2 Al 2.60

Results
**Spin magnetization**: 0.00 μB per cell
**Energy of formation**: -123.2 meV/atom
**SG**: No. 63

---

(3)
Entry from Alexandria via LeMat-Bulk: crystalline MgAlOs2 at its relaxed geometry (GGA-PBE).

a b c (Å): 4.6087 4.6087 4.9424
angles (deg): 78.41 78.41 35.91
Closest atoms and distances in Å follow each position.
Fractional positions:
Os (0.4884, 0.4884, 0.5245)  3 Al 2.58-2.75, 4 Os 2.69-2.84, 3 Mg 2.72-2.79
Os (0.0116, 0.0116, 0.9755)  3 Al 2.58-2.75, 4 Os 2.69-2.84, 3 Mg 2.72-2.79
Al (0.7500, 0.7500, 0.7500)  6 Os 2.58-2.75, 2 Al 2.84, 4 Mg 2.85
Mg (0.2500, 0.2500, 0.2500)  6 Os 2.72-2.79, 2 Mg 2.84, 4 Al 2.85

Results
**Spin magnetization**: 0.00 μB per cell
**Energy of formation**: 66.5 meV/atom
**SG**: No. 12

---

(4)
Entry from Alexandria via LeMat-Bulk: crystalline MgAlOs2 at its relaxed geometry (GGA-PBE).

a b c (Å): 2.7726 2.7726 8.5411
angles (deg): 90.00 90.00 114.64
Closest atoms and distances in Å follow each position.
Fractional positions:
Mg (0.5000, 0.5000, 0.7500)  4 Os 2.71, 6 Mg 2.77-2.99
Al (0.5000, 0.5000, 0.2500)  4 Os 2.51, 4 Al 2.77
Os (0.0000, 0.0000, 0.4855)  2 Al 2.51, 2 Mg 2.71, 4 Os 2.77
Os (0.0000, 0.0000, 0.0145)  2 Al 2.51, 2 Mg 2.71, 4 Os 2.77

Results
**Spin magnetization**: 0.00 μB per cell
**Energy of formation**: 72.5 meV/atom
**SG**: No. 65

---

(5)
Entry from Alexandria via LeMat-Bulk: crystalline MgAlOs at its relaxed geometry (GGA-PBE).

a b c (Å): 5.0903 5.0903 5.0903
angles (deg): 143.23 143.23 52.97
Closest atoms and distances in Å follow each position.
Fractional positions:
Os (0.6499, 0.6499, 0.0000)  4 Al 2.54, 4 Mg 2.78
Al (0.0248, 0.0248, 0.0000)  4 Os 2.54, 1 Mg 2.74
Mg (0.3252, 0.3252, 0.0000)  5 Al 2.74-2.91, 5 Os 2.78-2.96

Results
**Spin magnetization**: 0.00 μB per cell
**Energy of formation**: -148.8 meV/atom
**SG**: No. 107

---

(6)
Entry from Alexandria via LeMat-Bulk: crystalline MgAlOs2 at its relaxed geometry (GGA-PBE).

a b c (Å): 2.7582 2.7582 9.0854
angles (deg): 90.00 90.00 116.08
Closest atoms and distances in Å follow each position.
Fractional positions:
Al (0.0000, 0.0000, 0.4822)  2 Os 2.54, 4 Al 2.76
Mg (0.5000, 0.5000, 0.7572)  2 Os 2.70, 6 Mg 2.76-2.92, 2 Al 2.89
Os (0.0000, 0.0000, 0.0069)  8 Os 2.68-2.92, 2 Mg 2.70
Os (0.5000, 0.5000, 0.2537)  2 Al 2.54, 6 Os 2.68-2.76

Results
**Spin magnetization**: 0.00 μB per cell
**Energy of formation**: 320.7 meV/atom
**SG**: No. 35

---

(7)
Entry from Alexandria via LeMat-Bulk: crystalline MgAlOs2 at its relaxed geometry (GGA-PBE).

a b c (Å): 8.7794 8.7794 8.7794
angles (deg): 18.53 18.53 18.53
Closest atoms and distances in Å follow each position.
Fractional positions:
Os (0.9950, 0.9950, 0.9950)  3 Al 2.60, 3 Mg 2.81, 6 Os 2.83
Os (0.5050, 0.5050, 0.5050)  3 Al 2.60, 3 Mg 2.81, 6 Os 2.83
Al (0.2500, 0.2500, 0.2500)  6 Os 2.60, 6 Al 2.83
Mg (0.7500, 0.7500, 0.7500)  6 Os 2.81, 6 Mg 2.83

Results
**Spin magnetization**: 0.00 μB per cell
**Energy of formation**: 36.0 meV/atom
**SG**: No. 166

---

(8)
Entry from Alexandria via LeMat-Bulk: crystalline MgAlOs2 at its relaxed geometry (GGA-PBE).

a b c (Å): 5.1068 5.1068 4.6489
angles (deg): 69.09 69.09 32.23
Closest atoms and distances in Å follow each position.
Fractional positions:
Os (0.0172, 0.0172, 0.0611)  4 Os 2.62-2.84, 4 Al 2.67-2.81, 3 Mg 2.67-2.74
Os (0.7357, 0.7357, 0.6886)  4 Os 2.62-2.84, 4 Mg 2.68-2.79, 3 Al 2.69-2.73
Mg (0.2631, 0.2631, 0.1816)  7 Os 2.67-2.79, 2 Mg 2.84, 1 Al 2.87
Al (0.4840, 0.4840, 0.5687)  7 Os 2.67-2.81, 2 Al 2.84, 1 Mg 2.87

Results
**Spin magnetization**: 0.00 μB per cell
**Energy of formation**: -31.6 meV/atom
**SG**: No. 8

---

(9)
Entry from Alexandria via LeMat-Bulk: crystalline MgAlOs2 at its relaxed geometry (GGA-PBE).

a b c (Å): 4.2099 2.7871 5.1248
angles (deg): 82.05 90.00 90.00
Closest atoms and distances in Å follow each position.
Fractional positions:
Mg (0.5000, 0.7500, 0.7500)  4 Os 2.68, 2 Al 2.74, 2 Mg 2.79
Os (0.0000, 0.0477, 0.0099)  2 Al 2.54, 2 Mg 2.68, 4 Os 2.75-2.79
Os (0.0000, 0.4523, 0.4901)  2 Al 2.54, 2 Mg 2.68, 4 Os 2.75-2.79
Al (0.5000, 0.2500, 0.2500)  4 Os 2.54, 2 Mg 2.74, 2 Al 2.79

Results
**Spin magnetization**: 0.00 μB per cell
**Energy of formation**: 77.3 meV/atom
**SG**: No. 10

---

(10)
Entry from Alexandria via LeMat-Bulk: crystalline MgAlOs2 at its relaxed geometry (GGA-PBE).

a b c (Å): 4.4926 2.8945 4.5424
angles (deg): 90.00 90.00 90.00
Closest atoms and distances in Å follow each position.
Fractional positions:
Mg (0.5000, 0.8748, 0.6966)  6 Os 2.67-2.76, 4 Al 2.75, 2 Mg 2.89
Al (0.0000, 0.3751, 0.5495)  6 Os 2.69-2.74, 4 Mg 2.75, 2 Al 2.89
Os (0.0000, 0.8752, 0.0507)  4 Al 2.69-2.70, 6 Os 2.76-2.89, 2 Mg 2.76
Os (0.5000, 0.3750, 0.2031)  4 Mg 2.67-2.72, 2 Al 2.74, 6 Os 2.76-2.89

Results
**Spin magnetization**: 0.00 μB per cell
**Energy of formation**: 8.3 meV/atom
**SG**: No. 25

---

(11)
Entry from Alexandria via LeMat-Bulk: crystalline MgAlOs at its relaxed geometry (GGA-PBE).

a b c (Å): 6.9708 6.7514 2.8176
angles (deg): 82.56 73.82 23.63
Closest atoms and distances in Å follow each position.
Fractional positions:
Al (0.9870, 0.9870, 0.0130)  2 Os 2.49
Mg (0.6736, 0.6736, 0.3264)  2 Os 2.68, 4 Mg 2.82, 2 Al 2.91
Os (0.3394, 0.3394, 0.6606)  2 Al 2.49, 2 Mg 2.68

Results
**Spin magnetization**: 0.00 μB per cell
**Energy of formation**: 110.2 meV/atom
**SG**: No. 42

---

(12)
Entry from Alexandria via LeMat-Bulk: crystalline MgAlOs2 at its relaxed geometry (GGA-PBE).

a b c (Å): 3.8682 3.9257 3.9257
angles (deg): 90.00 90.00 90.00
Closest atoms and distances in Å follow each position.
Fractional positions:
Mg (0.5000, 0.0000, 0.5000)  8 Os 2.76, 4 Al 2.78
Os (0.0000, 0.0000, 0.0000)  4 Mg 2.76, 4 Al 2.76, 4 Os 2.78
Os (0.0000, 0.5000, 0.5000)  4 Mg 2.76, 4 Al 2.76, 4 Os 2.78
Al (0.5000, 0.5000, 0.0000)  8 Os 2.76, 4 Mg 2.78

Results
**Spin magnetization**: 1.08 μB per cell
**Energy of formation**: 178.5 meV/atom
**SG**: No. 123